The following is a DFT calculation (PBE) of an optimized crystal structure of Pm6Co3Ag.

Unit cell a=10.611 b=3.806 c=13.748 alpha=90.00 beta=108.36 gamma=90.00
Fractional coordinates of all 20 atoms:
Pm 0.025 0.250 0.122
Pm 0.057 0.750 0.406
Pm 0.234 0.250 0.813
Pm 0.325 0.250 0.592
Pm 0.336 0.750 0.068
Pm 0.338 0.250 0.328
Pm 0.662 0.750 0.672
Pm 0.664 0.250 0.932
Pm 0.675 0.750 0.408
Pm 0.766 0.750 0.187
Pm 0.943 0.250 0.594
Pm 0.975 0.750 0.878
Co 0.142 0.750 0.645
Co 0.156 0.250 0.980
Co 0.435 0.750 0.480
Co 0.565 0.250 0.520
Co 0.844 0.750 0.020
Co 0.858 0.250 0.355
Ag 0.447 0.750 0.785
Ag 0.553 0.250 0.215

Properties
**Symmetry**: P2_1/m
**Uncorrected energy**: -0.1960 Ha/atom